Material: Sb3Pt12W
Method: DFT, PBE
State: optimized geometry

Geometry as POSCAR:
```
Sb3Pt12W
1.0
3.9947 0.0000 0.0000
0.0000 3.9947 0.0000
0.0000 0.0000 17.0099
Sb Pt W
3 12 1
direct
0.0000 0.0000 0.0000
0.0000 0.0000 0.2441
0.0000 0.0000 0.7559
0.0000 0.5000 0.1291
0.0000 0.5000 0.3888
0.0000 0.5000 0.6112
0.0000 0.5000 0.8709
0.5000 0.0000 0.1291
0.5000 0.0000 0.3888
0.5000 0.0000 0.6112
0.5000 0.0000 0.8709
0.5000 0.5000 0.0000
0.5000 0.5000 0.2688
0.5000 0.5000 0.5000
0.5000 0.5000 0.7312
0.0000 0.0000 0.5000
```

Results
Its density of states at the Fermi level is 13.674 states/eV/cell. Its electronic total energy is -6.263 eV per atom. The space group is P4/mmm, No. 123.